(1)
Density functional theory data (PBE) for a relaxed YSc2Tl2 crystal.

a = 8.7538 Å, b = 8.7538 Å, c = 3.3006 Å
α = 90.00°, β = 90.00°, γ = 90.00°
Element x y z (fractional)
Y: 0.0000 0.0000 0.0000
Y: 0.5000 0.5000 0.0000
Sc: 0.1215 0.3785 0.0000
Sc: 0.3785 0.8785 0.0000
Sc: 0.6215 0.1215 0.0000
Sc: 0.8785 0.6215 0.0000
Tl: 0.1769 0.6769 0.5000
Tl: 0.3231 0.1769 0.5000
Tl: 0.6769 0.8231 0.5000
Tl: 0.8231 0.3231 0.5000

The excess energy over the best structure of this formula in the dataset comes out at 43 kJ/mol of formula units. The space group is P4/mbm.

=====

(2)
Density functional theory data (PBE) for a relaxed Rb2LiZnBi2 crystal.

a = 9.7784 Å, b = 9.7784 Å, c = 9.7784 Å
α = 137.65°, β = 61.72°, γ = 137.28°
Element x y z (fractional)
Rb: 0.1662 0.2450 0.4112
Rb: 0.3338 0.7450 0.0788
Rb: 0.6662 0.2550 0.9212
Rb: 0.8338 0.7550 0.5888
Li: 0.2500 0.2500 0.0000
Li: 0.7500 0.7500 0.0000
Zn: 0.2500 0.7500 0.5000
Zn: 0.7500 0.2500 0.5000
Bi: 0.0898 0.7362 0.8259
Bi: 0.4102 0.2362 0.6464
Bi: 0.5898 0.7638 0.3536
Bi: 0.9102 0.2638 0.1741

The space group is Ibam. As for the total energy: -29.6 eV per cell.

=====

(3)
Density functional theory data (PBE) for a relaxed KBaAuS crystal.

a = 5.5191 Å, b = 5.5191 Å, c = 5.5191 Å
α = 60.00°, β = 60.00°, γ = 60.00°
Element x y z (fractional)
K: 0.0000 0.0000 0.0000
Ba: 0.5000 0.5000 0.5000
Au: 0.7500 0.7500 0.7500
S: 0.2500 0.2500 0.2500

Its raw formation energy is -1.04 eV/atom. The space group is F-43m.

=====

(4)
Density functional theory data (PBE) for a relaxed Li3LaPd2 crystal.

a = 7.4774 Å, b = 7.4774 Å, c = 8.3810 Å
α = 115.57°, β = 115.57°, γ = 32.71°
Element x y z (fractional)
Li: 0.0614 0.0614 0.3957
Li: 0.2934 0.2934 0.4795
Li: 0.4158 0.4158 0.3182
Li: 0.5842 0.5842 0.6818
Li: 0.7066 0.7066 0.5205
Li: 0.9386 0.9386 0.6043
La: 0.1382 0.1382 0.0334
La: 0.8618 0.8618 0.9666
Pd: 0.2118 0.2118 0.7342
Pd: 0.4472 0.4472 0.8131
Pd: 0.5528 0.5528 0.1869
Pd: 0.7882 0.7882 0.2658

The space group is C2/m. As for the total energy: -47.8 eV per cell.

=====

(5)
Density functional theory data (PBE) for a relaxed AcNdSi2 crystal.

a = 5.3142 Å, b = 5.3142 Å, c = 5.3142 Å
α = 60.00°, β = 60.00°, γ = 60.00°
Element x y z (fractional)
Ac: 0.0000 0.0000 0.0000
Nd: 0.5000 0.5000 0.5000
Si: 0.2500 0.2500 0.2500
Si: 0.7500 0.7500 0.7500

The excess energy over the best structure of this formula in the dataset comes out at 129 kJ/mol of formula units. Its raw formation energy is -0.31 eV/atom. The space group is Fm-3m.

=====

(6)
Density functional theory data (PBE) for a relaxed EuHRh crystal.

a = 3.4658 Å, b = 3.4658 Å, c = 4.4688 Å
α = 90.00°, β = 90.00°, γ = 120.00°
Element x y z (fractional)
Eu: 0.0000 0.0000 0.0000
H: 0.3333 0.6667 0.5000
Rh: 0.6667 0.3333 0.5000

The excess energy over the best structure of this formula in the dataset comes out at 73 kJ/mol of formula units. The space group is P-6m2.

=====

(7)
Density functional theory data (PBE) for a relaxed PrSiRh3 crystal.

a = 4.5159 Å, b = 4.5159 Å, c = 4.5159 Å
α = 90.00°, β = 90.00°, γ = 90.00°
Element x y z (fractional)
Pr: 0.0000 0.0000 0.0000
Si: 0.5000 0.5000 0.5000
Rh: 0.0000 0.5000 0.5000
Rh: 0.5000 0.0000 0.5000
Rh: 0.5000 0.5000 0.0000

Its raw formation energy is -0.65 eV/atom. The space group is Pm-3m.

=====

(8)
Density functional theory data (PBE) for a relaxed NaHoScIn crystal.

a = 5.2409 Å, b = 5.2409 Å, c = 5.2409 Å
α = 60.00°, β = 60.00°, γ = 60.00°
Element x y z (fractional)
Na: 0.0000 0.0000 0.0000
Ho: 0.2500 0.2500 0.2500
Sc: 0.7500 0.7500 0.7500
In: 0.5000 0.5000 0.5000

The space group is F-43m. As for the total energy: -15.3 eV per cell.

=====

(9)
Density functional theory data (PBE) for a relaxed CeNdMoN3 crystal.

a = 7.6006 Å, b = 3.3906 Å, c = 7.7363 Å
α = 90.00°, β = 96.52°, γ = 90.00°
Element x y z (fractional)
Ce: 0.1320 0.2500 0.1673
Ce: 0.8680 0.7500 0.8327
Nd: 0.3398 0.7500 0.8198
Nd: 0.6602 0.2500 0.1802
Mo: 0.3978 0.7500 0.4171
Mo: 0.6022 0.2500 0.5829
N: 0.0893 0.2500 0.8798
N: 0.3256 0.2500 0.5710
N: 0.3755 0.7500 0.1532
N: 0.6245 0.2500 0.8468
N: 0.6744 0.7500 0.4290
N: 0.9107 0.7500 0.1202

Its raw formation energy is -0.93 eV/atom. The space group is P2_1/m.

=====

(10)
Density functional theory data (PBE) for a relaxed Ac4Sn5Ge2 crystal.

a = 7.8779 Å, b = 4.7383 Å, c = 9.2236 Å
α = 90.00°, β = 93.19°, γ = 90.00°
Element x y z (fractional)
Ac: 0.2210 0.0000 0.3625
Ac: 0.2380 0.0000 0.8982
Ac: 0.7620 0.0000 0.1018
Ac: 0.7790 0.0000 0.6375
Sn: 0.1346 0.5000 0.6293
Sn: 0.4508 0.5000 0.1590
Sn: 0.5000 0.5000 0.5000
Sn: 0.5492 0.5000 0.8410
Sn: 0.8654 0.5000 0.3707
Ge: 0.0866 0.5000 0.1244
Ge: 0.9134 0.5000 0.8756

The space group is P2/m. As for the total energy: -52.9 eV per cell.

=====

(11)
Density functional theory data (PBE) for a relaxed La2Sm3Ho6 crystal.

a = 6.1427 Å, b = 6.1427 Å, c = 11.7336 Å
α = 94.43°, β = 94.43°, γ = 119.37°
Element x y z (fractional)
La: 0.1747 0.8253 0.0000
La: 0.8253 0.1747 0.0000
Sm: 0.0000 0.0000 0.5000
Sm: 0.3360 0.6640 0.5000
Sm: 0.6640 0.3360 0.5000
Ho: 0.0745 0.4081 0.7459
Ho: 0.2594 0.2594 0.2507
Ho: 0.4081 0.0745 0.7459
Ho: 0.5919 0.9255 0.2541
Ho: 0.7406 0.7406 0.7493
Ho: 0.9255 0.5919 0.2541

The excess energy over the best structure of this formula in the dataset comes out at 0 kJ/mol of formula units. The space group is C2/m.

=====

(12)
Density functional theory data (PBE) for a relaxed Nd3Dy5Y3 crystal.

a = 9.6408 Å, b = 9.6408 Å, c = 5.5341 Å
α = 90.00°, β = 90.00°, γ = 120.00°
Element x y z (fractional)
Nd: 0.0000 0.6355 0.0000
Nd: 0.3645 0.3645 0.0000
Nd: 0.6355 0.0000 0.0000
Dy: 0.0000 0.2683 0.0000
Dy: 0.2683 0.0000 0.0000
Dy: 0.3333 0.6667 0.0000
Dy: 0.6667 0.3333 0.0000
Dy: 0.7317 0.7317 0.0000
Y: 0.0000 0.4565 0.5000
Y: 0.4565 0.0000 0.5000
Y: 0.5435 0.5435 0.5000

The space group is P-62m. As for the total energy: -47.9 eV per cell.

=====

(13)
Density functional theory data (PBE) for a relaxed Y5Cu crystal.

a = 5.4463 Å, b = 8.7657 Å, c = 8.7657 Å
α = 24.24°, β = 90.00°, γ = 90.00°
Element x y z (fractional)
Y: 0.0000 0.0000 0.0000
Y: 0.0000 0.3084 0.3084
Y: 0.5000 0.1170 0.1170
Y: 0.5000 0.4412 0.4412
Y: 0.5000 0.7699 0.7699
Cu: 0.0000 0.6594 0.6594

The excess energy over the best structure of this formula in the dataset comes out at 80 kJ/mol of formula units. The space group is Amm2.

=====

(14)
Density functional theory data (PBE) for a relaxed Ce3Dy4ScSe8 crystal.

a = 8.2200 Å, b = 8.2200 Å, c = 8.2200 Å
α = 59.77°, β = 59.77°, γ = 59.77°
Element x y z (fractional)
Ce: 0.0000 0.5000 0.5000
Ce: 0.5000 0.0000 0.5000
Ce: 0.5000 0.5000 0.0000
Dy: 0.0000 0.0000 0.5000
Dy: 0.0000 0.5000 0.0000
Dy: 0.5000 0.0000 0.0000
Dy: 0.5000 0.5000 0.5000
Sc: 0.0000 0.0000 0.0000
Se: 0.2384 0.7545 0.7545
Se: 0.2455 0.2455 0.7616
Se: 0.2455 0.7616 0.2455
Se: 0.2462 0.2462 0.2462
Se: 0.7538 0.7538 0.7538
Se: 0.7545 0.2384 0.7545
Se: 0.7545 0.7545 0.2384
Se: 0.7616 0.2455 0.2455

Its raw formation energy is -1.75 eV/atom. The space group is R-3m.

=====

(15)
Density functional theory data (PBE) for a relaxed PrHfSbO6 crystal.

a = 5.4239 Å, b = 5.4239 Å, c = 10.2415 Å
α = 90.00°, β = 90.00°, γ = 120.00°
Element x y z (fractional)
Pr: 0.0000 0.0000 0.0000
Pr: 0.0000 0.0000 0.5000
Hf: 0.3333 0.6667 0.2500
Hf: 0.6667 0.3333 0.7500
Sb: 0.3333 0.6667 0.7500
Sb: 0.6667 0.3333 0.2500
O: 0.0111 0.3709 0.6411
O: 0.0111 0.6402 0.8589
O: 0.3598 0.3709 0.8589
O: 0.3598 0.9889 0.6411
O: 0.3709 0.0111 0.1411
O: 0.3709 0.3598 0.3589
O: 0.6291 0.6402 0.6411
O: 0.6291 0.9889 0.8589
O: 0.6402 0.0111 0.3589
O: 0.6402 0.6291 0.1411
O: 0.9889 0.3598 0.1411
O: 0.9889 0.6291 0.3589

Its raw formation energy is -2.70 eV/atom. The space group is P-31c.

=====

(16)
Density functional theory data (PBE) for a relaxed BaSrAl2Ir crystal.

a = 4.9598 Å, b = 4.9598 Å, c = 5.6729 Å
α = 90.00°, β = 90.00°, γ = 90.00°
Element x y z (fractional)
Ba: 0.0000 0.0000 0.0000
Sr: 0.5000 0.5000 0.0000
Al: 0.0000 0.5000 0.5000
Al: 0.5000 0.0000 0.5000
Ir: 0.5000 0.5000 0.5000

The space group is P4/mmm. As for the total energy: -21.4 eV per cell.

=====

(17)
Density functional theory data (PBE) for a relaxed CaZnAu4 crystal.

a = 5.0311 Å, b = 9.1723 Å, c = 5.0466 Å
α = 90.00°, β = 90.00°, γ = 90.00°
Element x y z (fractional)
Ca: 0.0000 0.0000 0.0000
Ca: 0.5000 0.0000 0.5000
Zn: 0.0000 0.5000 0.5000
Zn: 0.5000 0.5000 0.0000
Au: 0.0000 0.1875 0.4964
Au: 0.0000 0.3490 0.9957
Au: 0.0000 0.6510 0.0043
Au: 0.0000 0.8125 0.5036
Au: 0.5000 0.1875 0.0036
Au: 0.5000 0.3490 0.5043
Au: 0.5000 0.6510 0.4957
Au: 0.5000 0.8125 0.9964

The excess energy over the best structure of this formula in the dataset comes out at 38 kJ/mol of formula units. The space group is Pmna.

=====

(18)
Density functional theory data (PBE) for a relaxed LiCa4Zn2 crystal.

a = 8.9329 Å, b = 8.9329 Å, c = 8.9329 Å
α = 34.71°, β = 34.71°, γ = 34.71°
Element x y z (fractional)
Li: 0.0000 0.0000 0.0000
Ca: 0.1286 0.1286 0.1286
Ca: 0.3808 0.3808 0.3808
Ca: 0.6192 0.6192 0.6192
Ca: 0.8714 0.8714 0.8714
Zn: 0.2553 0.2553 0.2553
Zn: 0.7447 0.7447 0.7447

The excess energy over the best structure of this formula in the dataset comes out at 0 kJ/mol of formula units. The space group is R-3m.

=====

(19)
Density functional theory data (PBE) for a relaxed Cr4AgOs crystal.

a = 4.7857 Å, b = 4.7857 Å, c = 4.7857 Å
α = 60.00°, β = 60.00°, γ = 60.00°
Element x y z (fractional)
Cr: 0.3775 0.3775 0.3775
Cr: 0.3775 0.3775 0.8675
Cr: 0.3775 0.8675 0.3775
Cr: 0.8675 0.3775 0.3775
Ag: 0.7500 0.7500 0.7500
Os: 0.0000 0.0000 0.0000

The space group is F-43m. As for the total energy: -50.9 eV per cell.

=====

(20)
Density functional theory data (PBE) for a relaxed CaMg5In6 crystal.

a = 8.6594 Å, b = 8.6594 Å, c = 4.6877 Å
α = 104.95°, β = 104.95°, γ = 111.46°
Element x y z (fractional)
Ca: 0.0000 0.0000 0.0000
Mg: 0.1708 0.8292 0.5000
Mg: 0.3304 0.6696 0.0000
Mg: 0.5000 0.5000 0.5000
Mg: 0.6696 0.3304 0.0000
Mg: 0.8292 0.1708 0.5000
In: 0.0841 0.4232 0.2527
In: 0.2613 0.2613 0.7582
In: 0.4232 0.0841 0.2527
In: 0.5768 0.9159 0.7473
In: 0.7387 0.7387 0.2418
In: 0.9159 0.5768 0.7473

The space group is C2/m. As for the total energy: -28.2 eV per cell.